Density functional theory data (PBE-GGA) for an optimized crystal structure of AgRu3O.

Lattice parameters (Å, degrees): 4.908 4.908 4.908 90.00 90.00 90.00
Sites, in units of the cell vectors:
Ru 0.000 0.500 0.000
Ag 0.000 0.000 0.000
Ru 0.000 0.000 0.500
O 0.500 0.500 0.500
Ru 0.500 0.000 0.000

Computed properties:
E_tot = -4.350 eV per atom
DOS at the Fermi energy = 6.9 states/eV/cell
ΔE to the lowest computed polymorph = 2.334 eV/atom
uncorrected formation energy = 2.78 eV per atom

---

Density functional theory data (PBE-GGA) for an optimized crystal structure of NaMn2Ga9.

Lattice parameters (Å, degrees): 3.640 8.241 8.241 120.00 90.00 90.00
Sites, in units of the cell vectors:
Ga 0.500 0.203 0.406
Ga 0.500 0.203 0.797
Ga 0.500 0.406 0.203
Na 0.000 0.000 0.000
Ga 0.500 0.594 0.797
Mn 0.000 0.333 0.667
Ga 0.500 0.797 0.594
Ga 0.000 0.500 0.000
Mn 0.000 0.667 0.333
Ga 0.500 0.797 0.203
Ga 0.000 0.000 0.500
Ga 0.000 0.500 0.500

Computed properties:
DFT formation energy = -0.093 eV per atom
E_tot = -4.001 eV per atom
DOS at the Fermi energy = 6.1 states/eV/cell

---

Number 1 is which compound?
AgRu3O

---

What is the formula in the first record?
AgRu3O